## KNa4Cd2Pb (PBE)

Data for KNa4Cd2Pb after structural relaxation.

Its total energy is -12.2 eV for the cell shown.

It has space group P-4m2 (No. 115), with a = 5.3953 Å, b = 5.3953 Å, c = 8.1583 Å, α = 90.00°, β = 90.00° and γ = 90.00°. The distinct sites, in fractional coordinates, are K at (0.0000, 0.0000, 0.0000), Na at (0.0000, 0.0000, 0.5000), Na at (0.0000, 0.5000, 0.7202), Na at (0.5000, 0.5000, 0.0000), Cd at (0.0000, 0.5000, 0.2736) and Pb at (0.5000, 0.5000, 0.5000).

## K16Na9Tl18Cd3 (PBE)

Data for K16Na9Tl18Cd3 after structural relaxation.

Its total energy is -161.6 eV for the cell shown.

It has space group P6_3/mmc (No. 194), with a = 11.3260 Å, b = 11.3260 Å, c = 29.9380 Å, α = 90.00°, β = 90.00° and γ = 120.00°. The distinct sites, in fractional coordinates, are K at (0.0696, 0.5348, 0.1240), K at (0.0899, 0.5450, 0.7500), K at (0.1309, 0.2617, 0.0582), K at (0.3333, 0.6667, 0.2500), Na at (0.0000, 0.5000, 0.0000), Na at (0.1656, 0.3312, 0.6539), Tl at (0.0000, 0.0000, 0.1570), Tl at (0.1595, 0.3190, 0.1966), Tl at (0.2331, 0.4663, 0.5550), Tl at (0.3333, 0.6667, 0.0314), Tl at (0.3333, 0.6667, 0.6420) and Cd at (0.0988, 0.1976, 0.7500).